Entry 1:
A relaxed TaRuPt2 crystal. Source: Alexandria via LeMat-Bulk, functional PBE.

raw total energy	-8.8356	eV/atom
distance to the lowest polymorph of the same formula	75.9	meV per atom
calculated formation energy	-51.43	kJ/mol of atoms

The structure in CIF format:
```
data_TaRuPt2
_space_group_name_H-M_alt 'I 4/m m m'
_space_group_IT_number 139
_space_group_name_Hall '-I 4 2'
_cell_length_a 3.9031
_cell_length_b 3.9031
_cell_length_c 8.1490
_cell_angle_alpha 90.00
_cell_angle_beta 90.00
_cell_angle_gamma 90.00
loop_
_atom_site_label
_atom_site_type_symbol
_atom_site_fract_x
_atom_site_fract_y
_atom_site_fract_z
Ta1 Ta 0.0000 0.0000 0.0000
Ru1 Ru 0.0000 0.0000 0.5000
Pt1 Pt 0.0000 0.5000 0.2500
```

Entry 2:
A relaxed TaRuPt2 crystal. Source: Alexandria via LeMat-Bulk, functional PBE.

raw total energy	-8.4278	eV/atom
distance to the lowest polymorph of the same formula	483.6	meV per atom
calculated formation energy	-12.09	kJ/mol of atoms

The structure in CIF format:
```
data_TaRuPt2
_space_group_name_H-M_alt 'F m -3 m'
_space_group_IT_number 225
_space_group_name_Hall '-F 4 2 3'
_cell_length_a 6.3544
_cell_length_b 6.3544
_cell_length_c 6.3544
_cell_angle_alpha 90.00
_cell_angle_beta 90.00
_cell_angle_gamma 90.00
loop_
_atom_site_label
_atom_site_type_symbol
_atom_site_fract_x
_atom_site_fract_y
_atom_site_fract_z
Ta1 Ta 0.0000 0.0000 0.0000
Ru1 Ru 0.0000 0.0000 0.5000
Pt1 Pt 0.2500 0.2500 0.2500
```

Entry 3:
A relaxed TaRu2Pt crystal. Source: Alexandria via LeMat-Bulk, functional PBE.

raw total energy	-9.3413	eV/atom
distance to the lowest polymorph of the same formula	240.0	meV per atom
calculated formation energy	-22.19	kJ/mol of atoms

The structure in CIF format:
```
data_TaRu2Pt
_space_group_name_H-M_alt 'C 1 m 1'
_space_group_IT_number 8
_space_group_name_Hall 'C -2y'
_cell_length_a 9.2319
_cell_length_b 2.8339
_cell_length_c 4.7657
_cell_angle_alpha 90.00
_cell_angle_beta 100.71
_cell_angle_gamma 90.00
loop_
_atom_site_label
_atom_site_type_symbol
_atom_site_fract_x
_atom_site_fract_y
_atom_site_fract_z
Ta1 Ta 0.0000 0.0000 0.0000
Ru1 Ru 0.2518 0.5000 0.2706
Ru2 Ru 0.4949 0.0000 0.4802
Pt1 Pt 0.2484 0.0000 0.7521
```

Entry 4:
A relaxed TaRuPt crystal. Source: Alexandria via LeMat-Bulk, functional PBE.

raw total energy	-9.3876	eV/atom
distance to the lowest polymorph of the same formula	138.5	meV per atom
calculated formation energy	-31.95	kJ/mol of atoms

The structure in CIF format:
```
data_TaRuPt
_space_group_name_H-M_alt 'I 4 m m'
_space_group_IT_number 107
_space_group_name_Hall 'I 4 -2'
_cell_length_a 3.2792
_cell_length_b 3.2792
_cell_length_c 9.0471
_cell_angle_alpha 90.00
_cell_angle_beta 90.00
_cell_angle_gamma 90.00
loop_
_atom_site_label
_atom_site_type_symbol
_atom_site_fract_x
_atom_site_fract_y
_atom_site_fract_z
Ta1 Ta 0.0000 0.0000 0.0000
Ru1 Ru 0.0000 0.0000 0.6441
Pt1 Pt 0.0000 0.0000 0.3343
```

Entry 5:
A relaxed TaRuPt2 crystal. Source: Alexandria via LeMat-Bulk, functional PBE.

raw total energy	-8.5657	eV/atom
distance to the lowest polymorph of the same formula	345.7	meV per atom
calculated formation energy	-25.39	kJ/mol of atoms

The structure in CIF format:
```
data_TaRuPt2
_space_group_name_H-M_alt 'P 4 m m'
_space_group_IT_number 99
_space_group_name_Hall 'P 4 -2'
_cell_length_a 2.7978
_cell_length_b 2.7978
_cell_length_c 8.0507
_cell_angle_alpha 90.00
_cell_angle_beta 90.00
_cell_angle_gamma 90.00
loop_
_atom_site_label
_atom_site_type_symbol
_atom_site_fract_x
_atom_site_fract_y
_atom_site_fract_z
Ta1 Ta 0.0000 0.0000 0.0000
Ru1 Ru 0.5000 0.5000 0.7529
Pt1 Pt 0.0000 0.0000 0.5142
Pt2 Pt 0.5000 0.5000 0.2500
```

Entry 6:
A relaxed Ta2RuPt crystal. Source: Alexandria via LeMat-Bulk, functional PBE.

raw total energy	-10.2000	eV/atom
calculated formation energy	-42.89	kJ/mol of atoms

The structure in CIF format:
```
data_Ta2RuPt
_space_group_name_H-M_alt 'P 1 2/m 1'
_space_group_IT_number 10
_space_group_name_Hall '-P 2y'
_cell_length_a 2.9381
_cell_length_b 3.8485
_cell_length_c 5.7698
_cell_angle_alpha 90.00
_cell_angle_beta 92.29
_cell_angle_gamma 90.00
loop_
_atom_site_label
_atom_site_type_symbol
_atom_site_fract_x
_atom_site_fract_y
_atom_site_fract_z
Ta1 Ta 0.0191 0.0000 0.2583
Ru1 Ru 0.5000 0.5000 0.5000
Pt1 Pt 0.5000 0.5000 0.0000
```

Entry 7:
A relaxed Ta2RuPt crystal. Source: Alexandria via LeMat-Bulk, functional PBE.

raw total energy	-10.0464	eV/atom
calculated formation energy	-28.07	kJ/mol of atoms

The structure in CIF format:
```
data_Ta2RuPt
_space_group_name_H-M_alt 'P 4/m m m'
_space_group_IT_number 123
_space_group_name_Hall '-P 4 2'
_cell_length_a 4.8055
_cell_length_b 4.8055
_cell_length_c 2.8728
_cell_angle_alpha 90.00
_cell_angle_beta 90.00
_cell_angle_gamma 90.00
loop_
_atom_site_label
_atom_site_type_symbol
_atom_site_fract_x
_atom_site_fract_y
_atom_site_fract_z
Ta1 Ta 0.0000 0.5000 0.0000
Ru1 Ru 0.0000 0.0000 0.5000
Pt1 Pt 0.5000 0.5000 0.5000
```

Entry 8:
A relaxed TaRu3Pt crystal. Source: Alexandria via LeMat-Bulk, functional PBE.

raw total energy	-7.1951	eV/atom
distance to the lowest polymorph of the same formula	323.3	meV per atom
calculated formation energy	188.06	kJ/mol of atoms

The structure in CIF format:
```
data_TaRu3Pt
_space_group_name_H-M_alt 'P m -3 m'
_space_group_IT_number 221
_space_group_name_Hall '-P 4 2 3'
_cell_length_a 4.6573
_cell_length_b 4.6573
_cell_length_c 4.6573
_cell_angle_alpha 90.00
_cell_angle_beta 90.00
_cell_angle_gamma 90.00
loop_
_atom_site_label
_atom_site_type_symbol
_atom_site_fract_x
_atom_site_fract_y
_atom_site_fract_z
Ta1 Ta 0.0000 0.0000 0.0000
Ru1 Ru 0.0000 0.5000 0.5000
Pt1 Pt 0.5000 0.5000 0.5000
```

Entry 9:
A relaxed TaRuPt2 crystal. Source: Alexandria via LeMat-Bulk, functional PBE.

raw total energy	-8.7034	eV/atom
distance to the lowest polymorph of the same formula	208.1	meV per atom
calculated formation energy	-38.68	kJ/mol of atoms

The structure in CIF format:
```
data_TaRuPt2
_space_group_name_H-M_alt 'P m m m'
_space_group_IT_number 47
_space_group_name_Hall '-P 2 2'
_cell_length_a 2.7776
_cell_length_b 4.0668
_cell_length_c 5.5129
_cell_angle_alpha 90.00
_cell_angle_beta 90.00
_cell_angle_gamma 90.00
loop_
_atom_site_label
_atom_site_type_symbol
_atom_site_fract_x
_atom_site_fract_y
_atom_site_fract_z
Ta1 Ta 0.0000 0.0000 0.0000
Ru1 Ru 0.0000 0.0000 0.5000
Pt1 Pt 0.5000 0.5000 0.2553
```

Entry 10:
A relaxed TaRu2Pt crystal. Source: Alexandria via LeMat-Bulk, functional PBE.

raw total energy	-9.4165	eV/atom
distance to the lowest polymorph of the same formula	164.8	meV per atom
calculated formation energy	-29.45	kJ/mol of atoms

The structure in CIF format:
```
data_TaRu2Pt
_space_group_name_H-M_alt 'P m m 2'
_space_group_IT_number 25
_space_group_name_Hall 'P 2 -2'
_cell_length_a 2.8111
_cell_length_b 3.8659
_cell_length_c 5.6363
_cell_angle_alpha 90.00
_cell_angle_beta 90.00
_cell_angle_gamma 90.00
loop_
_atom_site_label
_atom_site_type_symbol
_atom_site_fract_x
_atom_site_fract_y
_atom_site_fract_z
Ta1 Ta 0.0000 0.0000 0.0000
Ru1 Ru 0.0000 0.0000 0.5314
Ru2 Ru 0.5000 0.5000 0.7356
Pt1 Pt 0.5000 0.5000 0.2578
```

Entry 11:
A relaxed TaRuPt2 crystal. Source: Alexandria via LeMat-Bulk, functional PBE.

raw total energy	-8.5670	eV/atom
distance to the lowest polymorph of the same formula	344.5	meV per atom
calculated formation energy	-25.52	kJ/mol of atoms

The structure in CIF format:
```
data_TaRuPt2
_space_group_name_H-M_alt 'P 4/m m m'
_space_group_IT_number 123
_space_group_name_Hall '-P 4 2'
_cell_length_a 2.7934
_cell_length_b 2.7934
_cell_length_c 8.0840
_cell_angle_alpha 90.00
_cell_angle_beta 90.00
_cell_angle_gamma 90.00
loop_
_atom_site_label
_atom_site_type_symbol
_atom_site_fract_x
_atom_site_fract_y
_atom_site_fract_z
Ta1 Ta 0.0000 0.0000 0.0000
Ru1 Ru 0.0000 0.0000 0.5000
Pt1 Pt 0.5000 0.5000 0.2495
```

Entry 12:
A relaxed TaRuPt crystal. Source: Alexandria via LeMat-Bulk, functional PBE.

raw total energy	-9.3417	eV/atom
distance to the lowest polymorph of the same formula	184.3	meV per atom
calculated formation energy	-27.53	kJ/mol of atoms

The structure in CIF format:
```
data_TaRuPt
_space_group_name_H-M_alt 'I 4 m m'
_space_group_IT_number 107
_space_group_name_Hall 'I 4 -2'
_cell_length_a 2.8516
_cell_length_b 2.8516
_cell_length_c 11.7291
_cell_angle_alpha 90.00
_cell_angle_beta 90.00
_cell_angle_gamma 90.00
loop_
_atom_site_label
_atom_site_type_symbol
_atom_site_fract_x
_atom_site_fract_y
_atom_site_fract_z
Ta1 Ta 0.0000 0.0000 0.0000
Ru1 Ru 0.0000 0.0000 0.6567
Pt1 Pt 0.0000 0.0000 0.3300
```